HgPbN2F: relaxed, PBE. Values from VASP.

## Properties
N(E_F)	0.60	states/eV per atom
excess energy over the best structure of this formula in the dataset	0.004	eV/atom
E_tot	-0.13143	Ha/atom
E_form (uncorrected)	90	kJ/mol of atoms

Cell and atoms, written as Quantum ESPRESSO input:
```
&SYSTEM
  ibrav = 0, nat = 5, ntyp = 4
/
ATOMIC_SPECIES
Hg 200.59 Hg.upf
Pb 207.20 Pb.upf
N 14.01 N.upf
F 19.00 F.upf
ATOMIC_POSITIONS crystal
Hg 0.0000 0.0000 0.0000
Pb 0.5000 0.5000 0.5000
N 0.0000 0.5000 0.5000
N 0.5000 0.0000 0.5000
F 0.5000 0.5000 0.0000
CELL_PARAMETERS angstrom
4.4091 0.0000 0.0000
0.0000 4.4091 0.0000
0.0000 0.0000 4.4341
```